First-principles (PBE) data for a relaxed SrTl3Ag8 crystal, as listed in Alexandria via LeMat-Bulk.

Properties
The value obtained for the calculated total energy is -32.035 eV for the cell shown. The crystal system is trigonal.

Lattice parameters (Å, degrees): 10.057 10.057 10.057 32.95 32.95 32.95
Atoms (fractional coordinates):
Sr (0.000, 0.000, 0.000)
Tl (0.127, 0.127, 0.127)
Tl (0.502, 0.502, 0.502)
Tl (0.623, 0.623, 0.623)
Ag (0.064, 0.064, 0.562)
Ag (0.064, 0.562, 0.064)
Ag (0.064, 0.564, 0.564)
Ag (0.314, 0.314, 0.314)
Ag (0.562, 0.064, 0.064)
Ag (0.564, 0.064, 0.564)
Ag (0.564, 0.564, 0.064)
Ag (0.814, 0.814, 0.814)